[1]
The following is a DFT calculation (PBE) of a relaxed structure of ThZr3.

```
ThZr3
1.0
-0.194 -3.246 0.290
3.040 -0.285 -1.154
3.415 0.587 8.855
Zr Th
3 1
Direct
0.000 0.000 0.500 Zr
0.500 0.500 0.734 Zr
0.500 0.500 0.266 Zr
0.000 0.000 0.000 Th
```

Values from the calculation:
* Fermi-level density of states: 4.689 states/eV per cell
* E_form: 0.080 eV/atom

[2]
The following is a DFT calculation (PBE) of a relaxed structure of Th3Zr.

```
Th3Zr
1.0
4.940 0.000 0.000
0.000 4.940 0.000
0.000 0.000 4.940
Th Zr
3 1
Direct
0.000 0.500 0.500 Th
0.500 0.500 0.000 Th
0.500 0.000 0.500 Th
0.000 0.000 0.000 Zr
```

Values from the calculation:
* Fermi-level density of states: 6.108 states/eV per cell
* E_form: 0.109 eV/atom

[3]
The following is a DFT calculation (PBE) of a relaxed structure of Th3Zr.

```
Th3Zr
1.0
5.525 0.000 0.000
2.762 4.785 0.000
2.762 1.595 4.511
Th Zr
3 1
Direct
0.750 0.750 0.750 Th
0.250 0.250 0.250 Th
0.000 0.000 0.000 Th
0.500 0.500 0.500 Zr
```

Values from the calculation:
* Fermi-level density of states: 7.290 states/eV per cell
* E_form: 0.175 eV/atom

[4]
The following is a DFT calculation (PBE) of a relaxed structure of Th2Zr.

```
Th2Zr
1.0
3.702 0.000 0.000
0.000 3.702 0.000
0.000 0.000 12.668
Zr Th
2 4
Direct
0.000 0.000 0.855 Zr
0.000 0.000 0.145 Zr
0.500 0.500 0.000 Th
0.000 0.000 0.500 Th
0.500 0.500 0.685 Th
0.500 0.500 0.315 Th
```

Values from the calculation:
* Fermi-level density of states: 6.712 states/eV per cell
* E_form: 0.082 eV/atom

[5]
The following is a DFT calculation (PBE) of a relaxed structure of ThZr4.

```
ThZr4
1.0
5.248 0.000 0.000
0.000 5.248 0.000
0.000 0.000 5.248
Zr Th
4 1
Direct
0.500 0.500 0.000 Zr
0.500 0.000 0.500 Zr
0.000 0.000 0.000 Zr
0.000 0.500 0.500 Zr
0.500 0.500 0.500 Th
```

Values from the calculation:
* Fermi-level density of states: 6.736 states/eV per cell
* E_form: 1.314 eV/atom

[6]
The following is a DFT calculation (PBE) of a relaxed structure of ThZr3.

```
ThZr3
1.0
3.235 0.000 0.000
0.000 5.442 0.000
0.000 0.000 5.757
Th Zr
1 3
Direct
0.000 0.500 0.313 Th
0.500 0.000 0.535 Zr
0.500 0.500 0.809 Zr
0.000 0.000 0.010 Zr
```

Values from the calculation:
* Fermi-level density of states: 5.678 states/eV per cell
* E_form: 0.095 eV/atom

[7]
The following is a DFT calculation (PBE) of a relaxed structure of ThZr3.

```
ThZr3
1.0
4.675 0.000 0.000
0.000 4.675 0.000
-2.338 -2.338 4.610
Zr Th
3 1
Direct
0.750 0.250 0.500 Zr
0.250 0.750 0.500 Zr
0.500 0.500 0.000 Zr
0.000 0.000 0.000 Th
```

Values from the calculation:
* Fermi-level density of states: 5.079 states/eV per cell
* E_form: 0.062 eV/atom

[8]
The following is a DFT calculation (PBE) of a relaxed structure of Th4Zr.

```
Th4Zr
1.0
-1.809 -0.879 5.250
0.468 -5.550 -0.767
5.302 0.190 1.859
Th Zr
4 1
Direct
0.000 0.500 0.500 Th
0.500 0.500 0.000 Th
0.500 0.000 0.500 Th
0.000 0.000 0.000 Th
0.500 0.500 0.500 Zr
```

Values from the calculation:
* Fermi-level density of states: 7.631 states/eV per cell
* E_form: 0.753 eV/atom